Computed, not measured: a relaxed MnSn2Pt9 crystal at the PBE level of DFT.

CIF file:
```
data_MnSn2Pt9
_space_group_name_H-M_alt 'P 1'
_space_group_IT_number 1
_space_group_name_Hall 'P 1'
_cell_length_a 4.018
_cell_length_b 4.018
_cell_length_c 12.057
_cell_angle_alpha 90.00
_cell_angle_beta 90.00
_cell_angle_gamma 90.00
loop_
_atom_site_label
_atom_site_type_symbol
_atom_site_fract_x
_atom_site_fract_y
_atom_site_fract_z
_atom_site_occupancy
Mn1 Mn 0.000 0.000 0.000 1
Sn1 Sn 0.000 0.000 0.327 1
Sn2 Sn 0.000 0.000 0.673 1
Pt1 Pt 0.000 0.500 0.159 1
Pt2 Pt 0.000 0.500 0.500 1
Pt3 Pt 0.000 0.500 0.841 1
Pt4 Pt 0.500 0.000 0.159 1
Pt5 Pt 0.500 0.000 0.500 1
Pt6 Pt 0.500 0.000 0.841 1
Pt7 Pt 0.500 0.500 0.000 1
Pt8 Pt 0.500 0.500 0.331 1
Pt9 Pt 0.500 0.500 0.669 1
```

Results
Formation energy from the elements ... -0.38 eV/atom
Total moment ... 4.81 μB/f.u.
Space group ... P4/mmm
Calculated volume ... 16.2 Å³/atom